DFT (PBE-GGA) results for crystalline CsFe3Tc at its relaxed geometry.

Properties
* space-group type: Pm-3m
* total magnetization: 2.3 μB per cell
* formation energy from the elements: 3.17 eV/atom
* electronic total energy: -20.8 eV/cell

```
CsFe3Tc
1.0
4.5671 0.0000 0.0000
0.0000 4.5671 0.0000
0.0000 0.0000 4.5671
Cs Fe Tc
1 3 1
Cartesian
0.0000 0.0000 0.0000
0.0000 0.0000 2.2836
0.0000 2.2836 0.0000
2.2836 0.0000 0.0000
2.2836 2.2836 2.2836
```

=====

DFT (PBE-GGA) results for crystalline AlFe2Ru at its relaxed geometry.

Properties
* space-group type: Pmmm
* total magnetization: 4.8 μB per cell
* formation energy from the elements: -0.22 eV/atom
* electronic total energy: -30.8 eV/cell

```
AlFe2Ru
1.0
2.9952 0.0000 0.0000
0.0000 4.0522 0.0000
0.0000 0.0000 4.1931
Al Fe Ru
1 2 1
Cartesian
0.0000 0.0000 0.0000
0.0000 2.0261 2.0966
1.4976 0.0000 2.0966
1.4976 2.0261 0.0000
```

=====

DFT (PBE-GGA) results for crystalline Zr3AlW at its relaxed geometry.

Properties
* space-group type: Pm-3m
* energy above the lowest structure with this stoichiometry: 360.3 meV per atom
* total magnetization: 0.0 μB per cell
* formation energy from the elements: 1.20 eV/atom
* electronic total energy: -36.4 eV/cell

```
Zr3AlW
1.0
4.8958 0.0000 0.0000
0.0000 4.8958 0.0000
0.0000 0.0000 4.8958
Zr Al W
3 1 1
Cartesian
0.0000 0.0000 2.4479
0.0000 2.4479 0.0000
2.4479 0.0000 0.0000
0.0000 0.0000 0.0000
2.4479 2.4479 2.4479
```

=====

DFT (PBE-GGA) results for crystalline RbY3Se at its relaxed geometry.

Properties
* space-group type: Pm-3m
* energy above the lowest structure with this stoichiometry: 1435.6 meV per atom
* total magnetization: 0.0 μB per cell
* formation energy without anion corrections: 1.30 eV/atom
* electronic total energy: -17.3 eV/cell

```
RbY3Se
1.0
5.5002 0.0000 0.0000
0.0000 5.5002 0.0000
0.0000 0.0000 5.5002
Rb Y Se
1 3 1
Cartesian
0.0000 0.0000 0.0000
0.0000 0.0000 2.7501
0.0000 2.7501 0.0000
2.7501 0.0000 0.0000
2.7501 2.7501 2.7501
```

=====

DFT (PBE-GGA) results for crystalline TlTcAsBr2 at its relaxed geometry.

Properties
* space-group type: P4/mmm
* energy above the lowest structure with this stoichiometry: 1064.0 meV per atom
* total magnetization: 4.3 μB per cell
* formation energy without anion corrections: 1.08 eV/atom
* electronic total energy: -15.3 eV/cell

```
TlTcAsBr2
1.0
5.5890 0.0000 0.0000
0.0000 5.5890 0.0000
0.0000 0.0000 5.5322
Tl Tc As Br
1 1 1 2
Cartesian
0.0000 0.0000 0.0000
2.7945 2.7945 2.7661
0.0000 0.0000 2.7661
0.0000 2.7945 0.0000
2.7945 0.0000 0.0000
```

=====

DFT (PBE-GGA) results for crystalline ErLuMnTl at its relaxed geometry.

Properties
* space-group type: F-43m
* total magnetization: 3.4 μB per cell
* formation energy from the elements: -0.01 eV/atom
* electronic total energy: -20.7 eV/cell

```
ErLuMnTl
1.0
0.0000 3.6350 3.6350
3.6350 0.0000 3.6350
3.6350 3.6350 0.0000
Er Lu Mn Tl
1 1 1 1
Cartesian
0.0000 0.0000 0.0000
3.6350 3.6350 3.6350
1.8175 1.8175 1.8175
5.4524 5.4524 5.4524
```

=====

DFT (PBE-GGA) results for crystalline Pr6TmZn at its relaxed geometry.

Properties
* space-group type: C2/m
* total magnetization: 0.0 μB per cell
* formation energy from the elements: -0.04 eV/atom
* electronic total energy: -34.8 eV/cell

```
Pr6TmZn
1.0
3.4094 -5.7712 0.0000
3.4094 5.7712 0.0000
-1.1555 0.0000 6.6823
Pr Tm Zn
6 1 1
Cartesian
1.7248 3.3112 4.9148
0.6284 0.0000 6.2370
3.9384 3.3112 1.7675
1.7248 -3.3112 4.9148
5.0347 0.0000 0.4453
3.9384 -3.3112 1.7675
2.8316 0.0000 3.3411
-0.5778 0.0000 3.3411
```

=====

DFT (PBE-GGA) results for crystalline CsNb3Ir at its relaxed geometry.

Properties
* space-group type: Pm-3m
* energy above the lowest structure with this stoichiometry: 0.0 meV per atom
* total magnetization: 1.2 μB per cell
* formation energy from the elements: 1.27 eV/atom
* electronic total energy: -33.6 eV/cell

```
CsNb3Ir
1.0
5.0633 0.0000 0.0000
0.0000 5.0633 0.0000
0.0000 0.0000 5.0633
Cs Nb Ir
1 3 1
Cartesian
0.0000 0.0000 0.0000
0.0000 2.5316 2.5316
2.5316 0.0000 2.5316
2.5316 2.5316 0.0000
2.5316 2.5316 2.5316
```

=====

DFT (PBE-GGA) results for crystalline Cd2CoPb2 at its relaxed geometry.

Properties
* space-group type: P4/mbm
* energy above the lowest structure with this stoichiometry: 0.0 meV per atom
* total magnetization: 2.8 μB per cell
* formation energy from the elements: 0.44 eV/atom
* electronic total energy: -28.4 eV/cell

```
Cd2CoPb2
1.0
6.9412 0.0000 0.0000
0.0000 6.9412 0.0000
0.0000 0.0000 5.1757
Cd Co Pb
4 2 4
Cartesian
1.0372 2.4334 0.0000
2.4334 5.9040 0.0000
4.5079 1.0372 0.0000
5.9040 4.5079 0.0000
0.0000 0.0000 0.0000
3.4706 3.4706 0.0000
1.2452 4.7158 2.5878
2.2254 1.2452 2.5878
4.7158 5.6960 2.5878
5.6960 2.2254 2.5878
```

=====

DFT (PBE-GGA) results for crystalline BeNi2Os at its relaxed geometry.

Properties
* space-group type: Pm
* total magnetization: 0.0 μB per cell
* formation energy from the elements: 0.00 eV/atom
* electronic total energy: -26.5 eV/cell

```
BeNi2Os
1.0
2.5593 0.0000 0.0000
0.0000 3.7269 0.0000
-1.2710 0.0000 4.6903
Be Ni Os
1 2 1
Cartesian
0.0000 0.0000 0.0000
0.0114 1.8634 1.1808
1.2946 0.0000 2.3361
0.0158 1.8634 3.6557
```

=====

DFT (PBE-GGA) results for crystalline RbMg3S4O12 at its relaxed geometry.

Properties
* space-group type: R32
* total magnetization: 5.0 μB per cell
* formation energy without anion corrections: -1.21 eV/atom
* electronic total energy: -106.0 eV/cell

```
RbMg3S4O12
1.0
5.2765 3.0464 2.8685
-5.2765 3.0464 2.8685
0.0000 -6.0928 2.8685
Rb Mg S O
1 3 4 12
Cartesian
0.0000 0.0000 0.0000
-3.0043 -0.8892 2.8685
2.2722 -2.1572 2.8685
0.7321 3.0464 2.8685
-2.2612 -3.9166 4.3027
0.0000 0.0000 4.3027
-2.2612 3.9166 4.3027
4.5225 0.0000 4.3027
-3.0924 -2.6883 3.9464
-4.4627 0.0000 4.3027
-0.7819 -4.0222 4.6590
-1.7760 0.0000 4.3027
-3.0924 2.6883 4.6590
2.2314 -3.8648 4.3027
0.8880 -1.5381 4.3027
-0.7819 4.0222 3.9464
0.8880 1.5381 4.3027
3.8743 -1.3340 3.9464
2.2314 3.8648 4.3027
3.8743 1.3340 4.6590
```

=====

DFT (PBE-GGA) results for crystalline LaMoSe2 at its relaxed geometry.

Properties
* space-group type: Cm
* energy above the lowest structure with this stoichiometry: 275.2 meV per atom
* total magnetization: 2.3 μB per cell
* formation energy without anion corrections: -0.60 eV/atom
* electronic total energy: -25.1 eV/cell

```
LaMoSe2
1.0
5.6950 -1.9289 0.0000
5.6950 1.9289 0.0000
-0.1310 0.0000 4.4282
La Mo Se
1 1 2
Cartesian
0.0000 0.0000 0.0000
2.9717 0.0000 2.6472
5.4547 0.0000 2.1999
8.1560 0.0000 4.3093
```